# DyTm2Sn2 PBE relaxed
data_DyTm2Sn2
_chemical_formula_sum 'Dy4 Tm8 Sn8'
_symmetry_space_group_name_H-M 'C m c 21'
_symmetry_Int_Tables_number 36
_cell_length_a 4.869
_cell_length_b 18.076
_cell_length_c 6.431
_cell_angle_alpha 90.00
_cell_angle_beta 90.00
_cell_angle_gamma 90.00
loop_
_symmetry_equiv_pos_as_xyz
'x,y,z'
'-x,-y,z+1/2'
'-x,y,z'
'x,-y,z+1/2'
'x+1/2,y+1/2,z'
'-x+1/2,-y+1/2,z+1/2'
'-x+1/2,y+1/2,z'
'x+1/2,-y+1/2,z+1/2'
loop_
_atom_site_label
_atom_site_fract_x
_atom_site_fract_y
_atom_site_fract_z
Dy1 0.000 0.108 0.000
Tm1 0.000 0.313 0.015
Tm2 0.000 0.497 0.754
Sn1 0.000 0.073 0.504
Sn2 0.000 0.298 0.518
# Magnetic moment: 0.00 μB/f.u.
# Calculated total energy: -4.89 eV/atom
# N(E_F): 12.0 states/eV/cell
# Volume: 28.303 Å³ per atom
# DFT formation energy: -0.582 eV/atom

---

# Zn2IrRu PBE relaxed
data_Zn2IrRu
_chemical_formula_sum 'Zn2 Ir1 Ru1'
_symmetry_space_group_name_H-M 'P 1 2/m 1'
_symmetry_Int_Tables_number 10
_cell_length_a 2.718
_cell_length_b 4.320
_cell_length_c 4.883
_cell_angle_alpha 90.00
_cell_angle_beta 93.31
_cell_angle_gamma 90.00
loop_
_symmetry_equiv_pos_as_xyz
'x,y,z'
'-x,-y,-z'
'-x,y,-z'
'x,-y,z'
loop_
_atom_site_label
_atom_site_fract_x
_atom_site_fract_y
_atom_site_fract_z
Zn1 0.232 0.000 0.247
Ir1 0.000 0.500 0.500
Ru1 0.500 0.500 0.000
# Magnetic moment: 0.00 μB/f.u.
# Calculated total energy: -5.15 eV/atom
# N(E_F): 2.9 states/eV/cell
# Volume: 14.311 Å³ per atom
# Energy relative to the lowest polymorph listed for this composition: 0.081 eV per atom
# DFT formation energy: 0.016 eV/atom